# SrCdSe2 PBE relaxed
# Crystal system: tetragonal
# Formation energy without anion corrections, eV/atom: -1.1949
# Volume, Å³ per atom: 31.2
# Magnetization, μB per cell: 0.000
data_SrCdSe2
_space_group_name_H-M_alt 'P 1'
_space_group_IT_number 1
_cell_length_a 7.416
_cell_length_b 7.416
_cell_length_c 6.937
_cell_angle_alpha 57.69
_cell_angle_beta 57.69
_cell_angle_gamma 90.00
loop_
_space_group_symop_operation_xyz
'x,y,z'
loop_
_atom_site_label
_atom_site_fract_x
_atom_site_fract_y
_atom_site_fract_z
Se1 0.663 0.125 0.250
Se2 0.375 0.337 0.750
Se3 0.875 0.913 0.750
Se4 0.087 0.625 0.250
Cd1 0.000 0.000 0.000
Cd2 0.750 0.250 0.500
Sr1 0.500 0.500 0.000
Sr2 0.250 0.750 0.500